No. 1
Below is a relaxed structure of La2CuGeS5, with properties calculated at the PBE level.

Cell and atoms, written as POSCAR:
```
La2CuGeS5
1.0
2.064 -8.513 0.000
2.064 8.513 0.000
0.000 0.000 11.295
La Cu Ge S
4 2 2 10
Direct
0.116 0.884 0.500
0.129 0.871 0.120
0.871 0.129 0.620
0.884 0.116 0.000
0.245 0.755 0.908
0.755 0.245 0.408
0.422 0.578 0.282
0.578 0.422 0.782
0.044 0.956 0.871
0.296 0.704 0.473
0.313 0.687 0.156
0.361 0.639 0.814
0.498 0.502 0.103
0.502 0.498 0.603
0.639 0.361 0.314
0.687 0.313 0.656
0.704 0.296 0.973
0.956 0.044 0.371
```

## Properties
Energy relative to the elements, uncorrected in eV per atom: -1.300
Symmetry: Cmc2_1, No. 36

=====

No. 2
Below is a relaxed structure of PrYTh2P4, with properties calculated at the PBE level.

Cell and atoms, written as POSCAR:
```
PrYTh2P4
1.0
7.128 0.000 0.000
0.000 4.136 0.000
-2.407 0.000 6.749
Pr Y Th P
1 1 2 4
Direct
0.000 0.000 0.000
0.000 0.500 0.500
0.500 0.000 0.500
0.500 0.500 0.000
0.249 0.000 0.745
0.253 0.500 0.255
0.747 0.500 0.745
0.751 0.000 0.255
```

## Properties
E_form in eV per formula unit: -12.54
Symmetry: P2/m, No. 10

=====

No. 3
Below is a relaxed structure of Cd2AgP2, with properties calculated at the PBE level.

Cell and atoms, written as POSCAR:
```
Cd2AgP2
1.0
7.678 0.000 0.000
0.000 7.678 0.000
0.000 0.000 3.376
Cd Ag P
4 2 4
Direct
0.138 0.362 0.000
0.362 0.862 0.000
0.638 0.138 0.000
0.862 0.638 0.000
0.000 0.000 0.000
0.500 0.500 0.000
0.166 0.666 0.500
0.334 0.166 0.500
0.666 0.834 0.500
0.834 0.334 0.500
```

## Properties
E_form in eV per formula unit: 2.10
Polymorph energy (0 for the lowest one) in eV per atom: 0.261
Symmetry: P4/mbm, No. 127

=====

No. 4
Below is a relaxed structure of Dy8MnHg2, with properties calculated at the PBE level.

Cell and atoms, written as POSCAR:
```
Dy8MnHg2
1.0
-2.511 4.173 7.302
2.511 -4.173 7.302
2.511 4.173 -7.302
Dy Mn Hg
8 1 2
Direct
0.120 0.342 0.778
0.130 0.130 0.000
0.314 0.000 0.314
0.435 0.658 0.778
0.565 0.342 0.222
0.686 0.000 0.686
0.870 0.870 0.000
0.880 0.658 0.222
0.000 0.500 0.500
0.302 0.802 0.500
0.698 0.198 0.500
```

## Properties
E_form in eV per formula unit: -0.42
Symmetry: Immm, No. 71

=====

No. 5
Below is a relaxed structure of Cs2RbHg8, with properties calculated at the PBE level.

Cell and atoms, written as POSCAR:
```
Cs2RbHg8
1.0
3.590 -10.419 0.000
3.590 10.419 0.000
-3.481 0.000 5.591
Cs Rb Hg
2 1 8
Direct
0.155 0.845 0.000
0.845 0.155 0.000
0.000 0.000 0.500
0.235 0.511 0.720
0.248 0.752 0.500
0.379 0.379 0.212
0.489 0.765 0.280
0.511 0.235 0.720
0.621 0.621 0.788
0.752 0.248 0.500
0.765 0.489 0.280
```

## Properties
E_form in eV per formula unit: -2.40
Symmetry: C2/m, No. 12

=====

No. 6
Below is a relaxed structure of ZrN2F4, with properties calculated at the PBE level.

Cell and atoms, written as POSCAR:
```
ZrN2F4
1.0
3.617 0.000 0.000
-0.006 3.617 0.000
-0.218 -0.112 9.046
Zr N F
1 2 4
Direct
0.000 0.000 0.000
0.419 0.418 0.540
0.581 0.582 0.460
0.009 0.504 0.130
0.492 0.995 0.870
0.508 0.005 0.130
0.991 0.496 0.870
```

## Properties
Energy relative to the elements, uncorrected in eV per atom: -2.518
Symmetry: P-1, No. 2

=====

No. 7
Below is a relaxed structure of Hf2MgAgHg, with properties calculated at the PBE level.

Cell and atoms, written as POSCAR:
```
Hf2MgAgHg
1.0
5.084 0.000 0.000
0.000 5.084 0.000
0.000 0.000 4.678
Hf Mg Ag Hg
2 1 1 1
Direct
0.000 0.500 0.000
0.500 0.000 0.000
0.000 0.000 0.000
0.000 0.000 0.500
0.500 0.500 0.500
```

## Properties
E_form in eV per formula unit: 5.30
Symmetry: P4/mmm, No. 123

=====

No. 8
Below is a relaxed structure of SrAlCo2, with properties calculated at the PBE level.

Cell and atoms, written as POSCAR:
```
SrAlCo2
1.0
-2.319 2.319 8.320
2.319 -2.319 8.320
2.319 2.319 -8.320
Sr Al Co
2 2 4
Direct
0.375 0.625 0.750
0.625 0.375 0.250
0.125 0.875 0.250
0.875 0.125 0.750
0.000 0.000 0.000
0.000 0.000 0.500
0.000 0.500 0.000
0.500 0.000 0.500
```

## Properties
E_form in eV per formula unit: 1.08
Symmetry: I4_1/amd, No. 141

=====

| no. | uncorrected energy (eV for the cell shown) | DOS(E_F) (states/eV per atom) | M_tot (μB/f.u.) |
| --- | --- | --- | --- |
| 1 | -101.81 | 0.1228 | 0.001 |
| 2 | -60.26 | 0.5008 | 0.000 |
| 3 | -26.80 | 0.5972 | 0.000 |
| 4 | -47.01 | 1.1484 | 1.260 |
| 5 | -7.49 | 0.5906 | 0.000 |
| 6 | -50.31 | 0.0000 | 0.000 |
| 7 | -19.35 | 0.8568 | 0.000 |
| 8 | -37.10 | 0.8889 | 2.093 |